[1]
This record from the Alexandria database describes Ce2GaH after structural relaxation. The functional is PBE.

Cell lengths 5.613, 5.613, 8.533 Å; angles 90.00, 90.00, 120.00 degrees
Fractional coordinates of all 12 atoms:
Ce  0.832  0.149  0.974
Ce  0.317  0.168  0.640
Ce  0.851  0.683  0.307
Ce  0.149  0.832  0.026
Ce  0.168  0.317  0.360
Ce  0.683  0.851  0.693
Ga  0.488  0.488  0.000
Ga  0.000  0.512  0.667
Ga  0.512  0.000  0.333
H  0.555  0.555  0.500
H  0.000  0.445  0.167
H  0.445  0.000  0.833

Offset from the most stable computed form = 0 meV/atom
Total energy = -58.91 eV/cell
Total magnetic moment = 1.198 μB/f.u.

[2]
This record from the Alexandria database describes Ce2GaH after structural relaxation. The functional is PBE.

Cell lengths 3.224, 3.224, 7.043 Å; angles 90.00, 90.00, 90.00 degrees
Fractional coordinates of all 4 atoms:
H  0.500  0.500  0.000
Ga  0.500  0.500  0.500
Ce  0.000  0.000  0.800
Ce  0.000  0.000  0.200

Offset from the most stable computed form = 81 meV/atom
Total energy = -19.31 eV/cell
Total magnetic moment = 0.000 μB/f.u.

[3]
This record from the Alexandria database describes CeGa2H after structural relaxation. The functional is PBE.

Cell lengths 3.106, 3.106, 8.764 Å; angles 79.79, 79.79, 60.00 degrees
Fractional coordinates of all 4 atoms:
H  0.000  0.000  0.000
Ga  0.068  0.068  0.797
Ga  0.932  0.932  0.203
Ce  0.500  0.500  0.500

Total energy = -15.48 eV/cell
Total magnetic moment = 0.001 μB/f.u.

[4]
This record from the Alexandria database describes Ce2GaH2 after structural relaxation. The functional is PBE.

Cell lengths 5.656, 5.645, 5.941 Å; angles 90.00, 118.42, 90.00 degrees
Fractional coordinates of all 10 atoms:
Ce  0.887  0.250  0.273
Ce  0.387  0.750  0.273
Ce  0.113  0.750  0.727
Ce  0.613  0.250  0.727
Ga  0.750  0.750  0.000
Ga  0.250  0.250  0.000
H  0.750  0.500  0.500
H  0.250  0.000  0.500
H  0.250  0.500  0.500
H  0.750  0.000  0.500

Total energy = -48.37 eV/cell
Total magnetic moment = 1.196 μB/f.u.

Please write out number 1 again, unchanged.
This record from the Alexandria database describes Ce2GaH after structural relaxation. The functional is PBE.

Cell lengths 5.613, 5.613, 8.533 Å; angles 90.00, 90.00, 120.00 degrees
Fractional coordinates of all 12 atoms:
Ce  0.832  0.149  0.974
Ce  0.317  0.168  0.640
Ce  0.851  0.683  0.307
Ce  0.149  0.832  0.026
Ce  0.168  0.317  0.360
Ce  0.683  0.851  0.693
Ga  0.488  0.488  0.000
Ga  0.000  0.512  0.667
Ga  0.512  0.000  0.333
H  0.555  0.555  0.500
H  0.000  0.445  0.167
H  0.445  0.000  0.833

Offset from the most stable computed form = 0 meV/atom
Total energy = -58.91 eV/cell
Total magnetic moment = 1.198 μB/f.u.